Below is a relaxed structure of BaLiSb2, with properties calculated at the PBE level.

The space group is P4/mmm (No. 123) and the conventional cell measures 3.5904, 3.5904 and 9.1367 Å, with angles of 90.00, 90.00 and 90.00 degrees. The distinct sites, in fractional coordinates, are Ba at (0.0000, 0.0000, 0.0000), Li at (0.0000, 0.0000, 0.5000) and Sb at (0.5000, 0.5000, 0.2840).

As for the magnetic moment: 0.00 μB per formula unit. As for the crystal system: tetragonal. For the uncorrected formation energy, the calculation gives -0.49 eV/atom.